The following is a PBE-GGA calculation of CsHfNO2 after structural relaxation, from Alexandria.

Summary:
- Final energy: -4.424 eV per atom
- Density: 6.7 g cm⁻³

Geometry as CIF:
```
data_CsHfNO2
_chemical_formula_sum 'Cs1 Hf1 N1 O2'
_space_group_name_H-M_alt 'P 4/m m m'
_space_group_IT_number 123
_space_group_name_Hall '-P 4 2'
_cell_length_a 4.3249
_cell_length_b 4.3249
_cell_length_c 4.7247
_cell_angle_alpha 90.00
_cell_angle_beta 90.00
_cell_angle_gamma 90.00
loop_
_atom_site_label
_atom_site_type_symbol
_atom_site_fract_x
_atom_site_fract_y
_atom_site_fract_z
Cs1 Cs 0.0000 0.0000 0.0000
Hf1 Hf 0.5000 0.5000 0.5000
N1 N 0.0000 0.0000 0.5000
O1 O 0.0000 0.5000 0.0000
```